! GGA-PBE La3Tc, relaxed; values from VASP
! ΔE_f = 0.10 eV/atom
&SYSTEM
  ibrav = 0, nat = 4, ntyp = 2
/
ATOMIC_SPECIES
Tc 98.00 Tc.upf
La 138.91 La.upf
ATOMIC_POSITIONS angstrom
Tc 1.588 -2.413 1.889
La 6.342 3.700 0.259
La -0.377 0.573 1.878
La 2.961 1.474 0.259
CELL_PARAMETERS angstrom
6.359 -0.008 -0.036
2.508 5.843 0.036
-3.680 -4.063 3.223



! GGA-PBE NdZn2Pt4, relaxed; values from VASP
! ΔE_f = -0.66 eV/atom
! distance to the lowest polymorph of the same formula = 0.000 eV/f.u.
&SYSTEM
  ibrav = 0, nat = 7, ntyp = 3
/
ATOMIC_SPECIES
Nd 144.24 Nd.upf
Pt 195.08 Pt.upf
Zn 65.41 Zn.upf
ATOMIC_POSITIONS angstrom
Nd 2.154 4.811 1.557
Pt 3.565 4.672 4.503
Pt 2.310 1.595 6.851
Pt 4.552 2.875 2.676
Pt 3.297 -0.202 5.023
Zn 2.268 2.235 4.141
Zn 4.595 2.236 5.386
CELL_PARAMETERS angstrom
4.655 -0.003 2.485
2.154 4.811 1.557
0.054 -0.338 5.486



! GGA-PBE Zn4CuRu, relaxed; values from VASP
! ΔE_f = -0.04 eV/atom
! distance to the lowest polymorph of the same formula = 0.201 eV/f.u.
&SYSTEM
  ibrav = 0, nat = 12, ntyp = 3
/
ATOMIC_SPECIES
Cu 63.55 Cu.upf
Zn 65.41 Zn.upf
Ru 101.07 Ru.upf
ATOMIC_POSITIONS angstrom
Cu 1.747 2.094 6.430
Cu 1.747 2.094 2.143
Zn 4.284 1.753 2.143
Zn 0.955 4.529 2.143
Zn 2.538 -0.341 6.430
Zn -0.791 2.436 6.430
Zn 2.630 3.154 8.573
Zn 0.863 1.035 4.287
Zn 2.630 3.154 4.287
Zn 0.863 1.035 0.000
Ru 3.493 4.188 6.430
Ru 0.000 0.000 2.143
CELL_PARAMETERS angstrom
5.076 -0.682 0.000
-1.582 4.871 0.000
0.000 0.000 8.573



! GGA-PBE BaCd2Sb, relaxed; values from VASP
! formation energy without anion corrections = -115 kJ/mol of formula units
&SYSTEM
  ibrav = 0, nat = 8, ntyp = 3
/
ATOMIC_SPECIES
Cd 112.41 Cd.upf
Sb 121.76 Sb.upf
Ba 137.33 Ba.upf
ATOMIC_POSITIONS angstrom
Cd 6.307 5.785 8.382
Cd 3.784 4.306 8.382
Cd 3.262 1.261 2.794
Cd 1.784 3.784 2.794
Sb 2.523 2.523 0.000
Sb 2.523 5.045 5.588
Ba 0.000 0.000 0.000
Ba 5.045 2.523 5.588
CELL_PARAMETERS angstrom
5.045 0.000 0.000
0.000 5.045 0.000
2.523 2.523 11.176



! GGA-PBE CePm2Y6, relaxed; values from VASP
! ΔE_f = 0.04 eV/atom
! distance to the lowest polymorph of the same formula = 0.000 eV/f.u.
&SYSTEM
  ibrav = 0, nat = 18, ntyp = 3
/
ATOMIC_SPECIES
Y 88.91 Y.upf
Pm 145.00 Pm.upf
Ce 140.12 Ce.upf
ATOMIC_POSITIONS angstrom
Y 4.170 -2.381 8.774
Y 0.717 2.610 1.460
Y 4.664 0.794 7.190
Y 0.211 8.821 1.577
Y 6.134 -3.306 11.627
Y 1.681 4.721 6.013
Y 3.154 0.597 10.445
Y 5.112 -0.324 13.281
Y 5.628 2.905 11.744
Y 2.175 7.896 4.430
Y 3.191 4.918 2.759
Y 1.233 5.839 -0.077
Pm 3.638 3.811 8.885
Pm 5.155 3.977 5.630
Pm 2.707 1.704 4.319
Pm 1.190 1.538 7.574
Ce 2.612 6.797 10.583
Ce 3.733 -1.282 2.621
CELL_PARAMETERS angstrom
5.465 -1.654 2.458
-0.026 9.374 -1.448
0.906 -2.204 12.194



! GGA-PBE AcPuPd, relaxed; values from VASP
! ΔE_f = -0.17 eV/atom
! distance to the lowest polymorph of the same formula = 0.211 eV/f.u.
&SYSTEM
  ibrav = 0, nat = 3, ntyp = 3
/
ATOMIC_SPECIES
Ac 227.00 Ac.upf
Pd 106.42 Pd.upf
Pu 244.00 Pu.upf
ATOMIC_POSITIONS angstrom
Ac -4.708 -3.897 1.422
Pd -2.354 -1.948 0.711
Pu 0.000 0.000 0.000
CELL_PARAMETERS angstrom
-4.341 -2.116 -1.711
-1.202 -4.803 1.318
-3.873 -0.875 3.238